Below is a relaxed structure of InCoSb2, with properties calculated at the PBE-GGA level.

Cell lengths 9.1993, 9.1993, 9.1993 Å; angles 21.32, 21.32, 21.32 degrees
Sites, in units of the cell vectors:
Sb: 0.2273 0.2273 0.2273
Sb: 0.0028 0.0028 0.0028
Co: 0.5030 0.5030 0.5030
In: 0.7668 0.7668 0.7668

total DFT energy (no corrections): -4.331 eV per atom